# 1
The following is a DFT calculation (PBE-GGA) of crystalline CaErTm2Hg4 at its relaxed geometry.

Cell and atoms, written as CIF:
```
data_CaErTm2Hg4
_chemical_formula_sum 'Ca3 Er3 Tm6 Hg12'
_space_group_name_H-M_alt 'R -3 m'
_space_group_IT_number 166
_space_group_name_Hall '-R 3 2"'
_cell_length_a 5.2237
_cell_length_b 5.2237
_cell_length_c 25.6116
_cell_angle_alpha 90.00
_cell_angle_beta 90.00
_cell_angle_gamma 120.00
loop_
_atom_site_label
_atom_site_fract_x
_atom_site_fract_y
_atom_site_fract_z
Ca1 0.0000 0.0000 0.0000
Er1 0.0000 0.0000 0.5000
Tm1 0.0000 0.0000 0.2508
Hg1 0.0000 0.0000 0.1262
Hg2 0.0000 0.0000 0.3765
```

Output
Its density of states at the Fermi level is 0.474 states/eV/atom. The formation energy comes out at -4.0 eV per formula unit. Its final energy is -0.190 Ry/atom.



# 2
The following is a DFT calculation (PBE-GGA) of crystalline CaY2ErHg4 at its relaxed geometry.

Cell and atoms, written as CIF:
```
data_CaY2ErHg4
_chemical_formula_sum 'Ca3 Y6 Er3 Hg12'
_space_group_name_H-M_alt 'R -3 m'
_space_group_IT_number 166
_space_group_name_Hall '-R 3 2"'
_cell_length_a 5.2641
_cell_length_b 5.2641
_cell_length_c 25.8132
_cell_angle_alpha 90.00
_cell_angle_beta 90.00
_cell_angle_gamma 120.00
loop_
_atom_site_label
_atom_site_fract_x
_atom_site_fract_y
_atom_site_fract_z
Ca1 0.0000 0.0000 0.0000
Y1 0.0000 0.0000 0.2512
Er1 0.0000 0.0000 0.5000
Hg1 0.0000 0.0000 0.1266
Hg2 0.0000 0.0000 0.3768
```

Output
Its density of states at the Fermi level is 0.458 states/eV/atom. The formation energy comes out at -4.2 eV per formula unit. Its final energy is -0.229 Ry/atom.



# 3
The following is a DFT calculation (PBE-GGA) of crystalline CaYEr2Hg4 at its relaxed geometry.

Cell and atoms, written as CIF:
```
data_CaYEr2Hg4
_chemical_formula_sum 'Ca3 Y3 Er6 Hg12'
_space_group_name_H-M_alt 'R -3 m'
_space_group_IT_number 166
_space_group_name_Hall '-R 3 2"'
_cell_length_a 5.2483
_cell_length_b 5.2483
_cell_length_c 25.7508
_cell_angle_alpha 90.00
_cell_angle_beta 90.00
_cell_angle_gamma 120.00
loop_
_atom_site_label
_atom_site_fract_x
_atom_site_fract_y
_atom_site_fract_z
Ca1 0.0000 0.0000 0.0000
Y1 0.0000 0.0000 0.5000
Er1 0.0000 0.0000 0.2512
Hg1 0.0000 0.0000 0.1258
Hg2 0.0000 0.0000 0.3761
```

Output
Its density of states at the Fermi level is 0.491 states/eV/atom. The formation energy comes out at -4.1 eV per formula unit. Its final energy is -0.210 Ry/atom.



# 4
The following is a DFT calculation (PBE-GGA) of crystalline CaErZnHg at its relaxed geometry.

Cell and atoms, written as CIF:
```
data_CaErZnHg
_chemical_formula_sum 'Ca1 Er1 Zn1 Hg1'
_space_group_name_H-M_alt 'P 4 m m'
_space_group_IT_number 99
_cell_length_a 3.6813
_cell_length_b 3.6813
_cell_length_c 7.3074
_cell_angle_alpha 90.00
_cell_angle_beta 90.00
_cell_angle_gamma 90.00
loop_
_space_group_symop_operation_xyz
'x,y,z'
'-y,x,z'
'-x,-y,z'
'y,-x,z'
'-x,y,z'
'y,x,z'
'x,-y,z'
'-y,-x,z'
loop_
_atom_site_label
_atom_site_fract_x
_atom_site_fract_y
_atom_site_fract_z
Ca1 0.0000 0.0000 0.0000
Er1 0.0000 0.0000 0.4806
Zn1 0.5000 0.5000 0.2630
Hg1 0.5000 0.5000 0.7256
```

Output
Its density of states at the Fermi level is 0.717 states/eV/atom. The value obtained for the energy above the most stable polymorph in this dataset is 0.000 eV/atom. The formation energy comes out at -1.6 eV per formula unit. Its final energy is -0.180 Ry/atom.